(1)
# LaGeBi3 GGA-PBE relaxed
data_LaGeBi3
_chemical_formula_sum 'La1 Ge1 Bi3'
_symmetry_space_group_name_H-M 'P m -3 m'
_symmetry_Int_Tables_number 221
_symmetry_space_group_name_Hall '-P 4 2 3'
_cell_length_a 5.5399
_cell_length_b 5.5399
_cell_length_c 5.5399
_cell_angle_alpha 90.00
_cell_angle_beta 90.00
_cell_angle_gamma 90.00
loop_
_atom_site_label
_atom_site_fract_x
_atom_site_fract_y
_atom_site_fract_z
_atom_site_occupancy
La1 0.0000 0.0000 0.0000 1
Ge1 0.5000 0.5000 0.5000 1
Bi1 0.0000 0.5000 0.5000 1
# * energy: -4.156 eV per atom
# * relative energy among the computed polymorphs: 0.000 eV/atom
# * E_form: 1.89 kcal/mol of atoms
# * M_tot: 0.0 μB per formula unit

***

(2)
# CaPmTm2Bi4 GGA-PBE relaxed
data_CaPmTm2Bi4
_chemical_formula_sum 'Ca1 Pm1 Tm2 Bi4'
_symmetry_space_group_name_H-M 'P 1 2/m 1'
_symmetry_Int_Tables_number 10
_cell_length_a 7.8183
_cell_length_b 4.4878
_cell_length_c 7.8634
_cell_angle_alpha 90.00
_cell_angle_beta 109.13
_cell_angle_gamma 90.00
loop_
_symmetry_equiv_pos_as_xyz
'x,y,z'
'-x,-y,-z'
'-x,y,-z'
'x,-y,z'
loop_
_atom_site_label
_atom_site_fract_x
_atom_site_fract_y
_atom_site_fract_z
_atom_site_occupancy
Ca1 0.0000 0.0000 0.0000 1
Pm1 0.5000 0.5000 0.0000 1
Tm1 0.0000 0.5000 0.5000 1
Tm2 0.5000 0.0000 0.5000 1
Bi1 0.2468 0.0000 0.7394 1
Bi2 0.2549 0.5000 0.2621 1
# * energy: -4.691 eV per atom
# * E_form: -18.19 kcal/mol of atoms
# * M_tot: 0.0 μB per formula unit

***

(3)
# HfZr2Re GGA-PBE relaxed
data_HfZr2Re
_chemical_formula_sum 'Hf4 Zr8 Re4'
_symmetry_space_group_name_H-M 'F m -3 m'
_symmetry_Int_Tables_number 225
_symmetry_space_group_name_Hall '-F 4 2 3'
_cell_length_a 6.8182
_cell_length_b 6.8182
_cell_length_c 6.8182
_cell_angle_alpha 90.00
_cell_angle_beta 90.00
_cell_angle_gamma 90.00
loop_
_atom_site_label
_atom_site_fract_x
_atom_site_fract_y
_atom_site_fract_z
_atom_site_occupancy
Hf1 0.0000 0.0000 0.0000 1
Zr1 0.2500 0.2500 0.2500 1
Re1 0.0000 0.0000 0.5000 1
# * energy: -9.863 eV per atom
# * relative energy among the computed polymorphs: 0.097 eV/atom
# * E_form: 0.27 kcal/mol of atoms
# * M_tot: 0.0 μB per formula unit